Entry from Alexandria: an optimized crystal structure of LiNb4WN8 (GGA-PBE).

```
LiNb4WN8
1.0
6.1699 0.0000 0.0000
3.0850 5.3433 0.0000
3.0850 1.7811 5.1239
Li Nb W N
1 4 1 8
Cartesian
9.2549 5.3433 0.0215
6.1699 3.5622 0.6695
9.2549 3.5703 2.5537
7.7195 6.2298 2.5537
10.7904 6.2298 2.5537
6.1699 3.5622 4.4374
6.1699 5.3340 3.7923
7.7043 2.6763 3.7923
4.6355 2.6763 3.7923
3.0850 1.7811 1.2365
6.1699 1.7292 1.3754
4.5825 4.4787 1.3754
7.7574 4.4787 1.3754
9.2549 5.3433 3.7767
```

Raw total energy: -131.16 eV/f.u.
Volume: 12.066 Å³ per atom
SG: R3m
Theoretical density: 6.6 Mg/m³


Entry from Alexandria: an optimized crystal structure of HoTmMgIr (GGA-PBE).

```
HoTmMgIr
1.0
-3.5536 -3.3613 0.9334
-0.6041 -3.8950 -3.0433
1.2391 -4.5731 1.5328
Mg Ir Tm Ho
1 1 1 1
Cartesian
-1.4593 -5.9147 -0.2886
0.0000 0.0000 0.0000
-0.7297 -2.9574 -0.1443
-2.1890 -8.8721 -0.4328
```

Raw total energy: -21.46 eV/f.u.
Formation enthalpy at 0 K: -0.49 eV per atom
Volume: 21.829 Å³ per atom
SG: F-43m
Theoretical density: 10.5 Mg/m³


Entry from Alexandria: an optimized crystal structure of TbPm5Er12 (GGA-PBE).

```
TbPm5Er12
1.0
-6.8167 1.7674 8.8028
-3.8808 -7.6185 5.7426
4.6979 0.3027 3.5744
Tb Pm Er
1 5 12
Cartesian
0.0000 0.0000 0.0000
-1.0594 1.0350 6.1886
-1.3758 -4.6585 7.0867
-4.6239 -0.8899 11.0331
-7.1328 -3.9193 9.6999
-3.5649 -1.9318 4.8456
-3.5158 1.5894 8.8373
1.3970 0.4807 3.5399
-0.1863 1.4869 9.3608
-1.9326 0.5832 3.0165
-0.4583 -4.1917 10.2418
-9.1079 -3.3188 12.7284
3.1082 -2.2296 5.3914
-5.5414 -1.3566 7.8781
-2.1872 -1.4741 8.3681
-5.7529 -3.4201 13.2159
-0.2468 -2.1283 4.9040
-3.8125 -4.0743 9.7517
```

Raw total energy: -81.24 eV/f.u.
Formation enthalpy at 0 K: 0.11 eV per atom
Volume: 31.911 Å³ per atom
SG: C2/m
Theoretical density: 8.4 Mg/m³


Entry from Alexandria: an optimized crystal structure of SrGaHg3 (GGA-PBE).

```
SrGaHg3
1.0
4.8894 0.0000 0.0000
0.0000 8.9409 0.0000
0.0000 0.0000 12.1757
Sr Ga Hg
4 4 12
Cartesian
3.6671 7.0964 0.0054
1.2224 6.3150 6.0933
3.6671 2.6259 6.0824
1.2224 1.8445 12.1703
1.2224 0.7887 7.7339
1.2224 5.2591 10.5297
3.6671 3.6818 1.6460
3.6671 8.1522 4.4418
1.2224 5.0573 1.2931
3.6671 3.8836 10.8826
1.2224 0.5868 4.7948
3.6671 8.3541 7.3810
1.2224 3.4680 8.3295
3.6671 1.0024 2.2416
1.2224 7.9385 9.9341
3.6671 5.4726 8.2509
1.2224 3.4683 3.9248
3.6671 1.0022 10.0127
3.6671 5.4729 3.8462
1.2224 7.9387 2.1630
```

Energy above the lowest structure with this stoichiometry: 0 meV/atom
Raw total energy: -7.13 eV/f.u.
Formation enthalpy at 0 K: -0.30 eV per atom
Volume: 26.614 Å³ per atom
SG: Pnma
Theoretical density: 9.5 Mg/m³


Entry from Alexandria: an optimized crystal structure of NaLa2YRe (GGA-PBE).

```
NaLa2YRe
1.0
-0.5953 -3.8547 -3.7508
4.4576 2.2940 -3.0649
3.4750 -3.1560 2.6918
Y Re Na La
1 1 1 2
Cartesian
3.6686 -2.3583 -2.0620
0.0000 0.0000 0.0000
2.2288 1.1470 -1.5325
1.7375 -1.5780 1.3459
-0.2976 -1.9273 -1.8754
```

Raw total energy: -27.14 eV/f.u.
Formation enthalpy at 0 K: 0.59 eV per atom
Volume: 34.411 Å³ per atom
SG: P4/mmm
Theoretical density: 5.6 Mg/m³


Entry from Alexandria: an optimized crystal structure of KW2 (GGA-PBE).

```
KW2
1.0
0.1182 -4.2108 5.0486
2.7055 -3.9389 4.5165
0.4881 6.6180 5.7547
K W
2 4
Cartesian
0.1569 -0.3590 0.5796
1.0065 -0.5034 4.6363
2.1694 -1.0393 10.0167
1.7641 -1.8090 7.6528
3.0217 -3.5324 12.8870
1.2649 2.9033 7.6337
```

Energy above the lowest structure with this stoichiometry: 215 meV/atom
Raw total energy: -23.39 eV/f.u.
Formation enthalpy at 0 K: 1.21 eV per atom
Volume: 25.027 Å³ per atom
SG: Cm
Theoretical density: 9.0 Mg/m³


Entry from Alexandria: an optimized crystal structure of NaPm2Y (GGA-PBE).

```
NaPm2Y
1.0
-2.6000 -2.2262 -1.0017
0.8129 -3.1220 -1.5203
-0.2953 -7.3473 10.7469
Y Na Pm
1 1 2
Cartesian
-1.0412 -6.3478 4.1124
0.0000 0.0000 0.0000
-0.3781 -5.8134 7.5527
-1.7043 -6.8822 0.6722
```

Energy above the lowest structure with this stoichiometry: 28 meV/atom
Raw total energy: -16.74 eV/f.u.
Formation enthalpy at 0 K: 0.13 eV per atom
Volume: 35.408 Å³ per atom
SG: R-3m
Theoretical density: 4.7 Mg/m³


Entry from Alexandria: an optimized crystal structure of YRu3 (GGA-PBE).

```
YRu3
1.0
4.3474 0.0000 0.0000
0.0000 5.5239 0.0000
0.0000 0.0000 5.9059
Y Ru
2 6
Cartesian
0.0000 0.0000 2.3267
2.1737 2.7619 3.5791
2.1737 0.0000 4.4305
0.0000 1.3955 5.2049
2.1737 1.3665 0.7010
0.0000 2.7619 1.4753
0.0000 4.1284 5.2049
2.1737 4.1574 0.7010
```

Raw total energy: -34.04 eV/f.u.
Formation enthalpy at 0 K: 0.06 eV per atom
Volume: 17.728 Å³ per atom
SG: Pmmn
Theoretical density: 9.2 Mg/m³


Entry from Alexandria: an optimized crystal structure of TaNbCrMo (GGA-PBE).

```
TaNbCrMo
1.0
-0.6149 -4.4493 -0.0127
1.9350 -2.5255 -3.1705
3.3944 -2.7393 1.0720
Cr Mo Nb Ta
1 1 1 1
Cartesian
1.1786 -2.4285 -0.5278
3.5359 -7.2856 -1.5834
2.3573 -4.8571 -1.0556
0.0000 0.0000 0.0000
```

Raw total energy: -42.63 eV/f.u.
Formation enthalpy at 0 K: -0.06 eV per atom
Volume: 16.019 Å³ per atom
SG: F-43m
Theoretical density: 10.9 Mg/m³


Entry from Alexandria: an optimized crystal structure of MnNb2Ni6 (GGA-PBE).

```
MnNb2Ni6
1.0
5.4624 0.0000 0.0000
0.0000 4.2779 -2.4698
0.0000 0.0000 4.9396
Mn Nb Ni
1 2 6
Cartesian
2.7312 0.0000 0.0000
2.0245 2.8519 0.0000
3.4379 1.4260 2.4698
4.5093 3.5364 1.1855
4.5093 3.5364 -1.1855
0.9532 2.7949 2.4698
4.5093 1.4830 0.0000
0.9532 0.7415 3.6554
0.9532 0.7415 1.2843
```

Energy above the lowest structure with this stoichiometry: 0 meV/atom
Raw total energy: -64.89 eV/f.u.
Formation enthalpy at 0 K: -0.10 eV per atom
Volume: 12.825 Å³ per atom
SG: P-3m1
Theoretical density: 8.5 Mg/m³


Entry from Alexandria: an optimized crystal structure of Sm3DyY (GGA-PBE).

```
Sm3DyY
1.0
9.5950 0.0000 -1.3008
0.0000 5.7644 0.0000
-1.2514 0.0000 6.1999
Sm Dy Y
6 2 2
Cartesian
0.9481 5.4764 4.5002
8.5402 2.5942 3.8682
4.9757 2.5939 3.1288
3.3679 5.4761 1.7704
-0.1965 5.4764 1.0309
7.3955 2.5942 0.3989
1.3883 2.5940 2.4478
6.9553 5.4762 2.4514
4.5501 5.4759 5.2048
3.7935 2.5937 -0.3056
```

Energy above the lowest structure with this stoichiometry: 0 meV/atom
Raw total energy: -25.14 eV/f.u.
Formation enthalpy at 0 K: 0.02 eV per atom
Volume: 33.353 Å³ per atom
SG: P2_1/m
Theoretical density: 7.0 Mg/m³


Entry from Alexandria: an optimized crystal structure of Cs2ZrVMo (GGA-PBE).

```
Cs2ZrVMo
1.0
-2.6861 -6.1135 -0.1340
4.4167 -1.9257 -0.6775
0.7982 -0.4956 6.6125
Cs Mo Zr V
2 1 1 1
Cartesian
0.3991 -0.2478 3.3063
-1.3430 -3.0568 -0.0670
1.2644 -4.2674 2.9005
2.2083 -0.9628 -0.3387
0.0000 0.0000 0.0000
```

Raw total energy: -19.62 eV/f.u.
Formation enthalpy at 0 K: 2.12 eV per atom
Volume: 43.409 Å³ per atom
SG: P4/mmm
Theoretical density: 3.9 Mg/m³